(1)
PmGa4Ag2 | PBE | optimized geometry

POSCAR file:
```
PmGa4Ag2
1.0
-3.574 3.574 2.680
3.574 -3.574 2.680
3.574 3.574 -2.680
Pm Ga Ag
1 4 2
Cartesian
0.000 0.000 0.000
2.180 2.180 0.000
1.393 -1.393 2.680
-1.393 1.393 2.680
1.393 1.393 2.680
3.574 0.000 1.340
0.000 3.574 1.340
```

## Properties
Total moment, Bohr magnetons per cell: 0.0
ρ, Mg/m³: 7.76
Electronic total energy, eV/atom: -3.429
E_form, meV/atom: -206

***

(2)
Pm2Ga3Ag5 | PBE | optimized geometry

POSCAR file:
```
Pm2Ga3Ag5
1.0
-5.909 5.943 2.998
5.909 -5.943 2.998
5.909 5.943 -2.998
Pm Ga Ag
4 6 10
Cartesian
1.544 2.800 0.000
7.453 3.142 0.000
-1.544 2.800 2.998
4.365 3.142 2.998
4.371 -4.353 2.998
5.909 0.000 1.499
4.371 4.353 0.000
1.538 1.590 2.998
0.000 5.943 1.499
1.538 10.295 0.000
4.624 1.796 0.000
0.000 0.000 1.499
3.030 0.000 1.499
8.788 0.000 1.499
4.624 -1.796 2.998
1.285 7.738 0.000
-2.879 5.943 1.499
2.879 5.943 1.499
0.000 0.000 4.498
1.285 4.147 2.998
```

## Properties
Total moment, Bohr magnetons per cell: 0.0
ρ, Mg/m³: 8.19
Electronic total energy, eV/atom: -3.573
E_form, meV/atom: -289

***

(3)
PmGa2Ag5 | PBE | optimized geometry

POSCAR file:
```
PmGa2Ag5
1.0
-2.069 3.864 5.009
2.069 -3.864 5.009
2.069 3.864 -5.009
Pm Ga Ag
1 2 5
Cartesian
0.000 0.000 0.000
2.069 0.000 2.360
0.000 3.864 2.649
2.069 2.416 -1.460
2.069 2.416 1.460
0.000 3.864 0.000
0.000 1.447 3.549
0.000 1.447 6.469
```

## Properties
Total moment, Bohr magnetons per cell: 0.0
ρ, Mg/m³: 8.54
Electronic total energy, eV/atom: -3.307
E_form, meV/atom: -174

***

(4)
Pm8Ga2Ag3 | PBE | optimized geometry

POSCAR file:
```
Pm8Ga2Ag3
1.0
5.055 -7.513 0.000
5.055 7.513 0.000
0.000 0.000 5.052
Pm Ga Ag
8 2 3
Cartesian
2.480 1.936 2.526
5.055 5.662 0.000
5.055 2.027 0.000
2.480 -1.936 2.526
7.630 1.936 2.526
5.055 -2.027 0.000
5.055 -5.662 0.000
7.630 -1.936 2.526
5.055 3.795 2.526
5.055 -3.795 2.526
2.603 0.000 0.000
5.055 0.000 2.526
7.507 0.000 0.000
```

## Properties
Total moment, Bohr magnetons per cell: 0.0
ρ, Mg/m³: 7.02
Electronic total energy, eV/atom: -4.215
E_form, meV/atom: -168

***

(5)
Pm2Ga5Ag3 | PBE | optimized geometry

POSCAR file:
```
Pm2Ga5Ag3
1.0
-5.274 6.336 3.056
5.274 -6.336 3.056
5.274 6.336 -3.056
Pm Ga Ag
4 10 6
Cartesian
2.482 1.631 0.000
2.482 -1.631 3.056
2.792 7.967 0.000
2.792 4.705 3.056
5.274 -2.781 1.528
6.932 1.433 0.000
0.000 0.000 1.528
1.659 4.903 0.000
5.274 2.781 1.528
0.000 3.555 1.528
3.615 1.433 3.056
0.000 0.000 4.583
-1.659 4.903 3.056
0.000 9.116 1.528
4.144 -4.566 3.056
5.274 0.000 1.528
4.144 4.566 0.000
1.129 1.770 3.056
0.000 6.336 1.528
1.129 10.902 0.000
```

## Properties
Total moment, Bohr magnetons per cell: 0.0
ρ, Mg/m³: 7.83
Electronic total energy, eV/atom: -3.735
E_form, meV/atom: -416

***

(6)
PmGa4Ag12 | PBE | optimized geometry

POSCAR file:
```
PmGa4Ag12
1.0
-4.516 4.516 4.516
4.516 -4.516 4.516
4.516 4.516 -4.516
Pm Ga Ag
1 4 12
Cartesian
0.000 0.000 0.000
2.258 2.258 -2.258
2.258 -2.258 2.258
-2.258 2.258 2.258
2.258 2.258 2.258
3.122 1.393 0.000
5.911 1.393 0.000
4.516 -1.394 3.123
3.123 4.516 -1.394
1.393 0.000 3.122
0.000 3.122 1.393
4.516 1.394 3.123
3.123 4.516 1.394
1.393 0.000 5.911
0.000 5.911 1.393
-1.394 3.123 4.516
1.394 3.123 4.516
```

## Properties
Total moment, Bohr magnetons per cell: 0.0
ρ, Mg/m³: 7.74
Electronic total energy, eV/atom: -2.796
E_form, meV/atom: 208